Density functional theory data (meta-GGA SCAN) for YSc2Hg at its PBEsol-relaxed geometry.

Calculated values
Spin magnetization in μB/f.u.: 0.00
ΔE_f in eV/atom: -0.38
D(E_F) in states/eV/cell: 7.122
Electronic total energy in eV per atom: -31.50

a b c (Å): 3.5520 5.0432 10.7593
angles (deg): 90.00 90.00 90.00
With the nearest neighbours (Å) after each atom.
Space group Immm (No. 71)
Asymmetric unit:
Y: 0.0000 0.0000 0.0000  4 Hg 3.08
Sc: 0.0000 0.5000 0.2225  2 Hg 2.98, 4 Sc 3.14
Hg: 0.0000 0.0000 0.5000  4 Sc 2.98, 4 Y 3.08


Density functional theory data (meta-GGA SCAN) for BaLiFeRu2 at its PBEsol-relaxed geometry.

Calculated values
Spin magnetization in μB/f.u.: 5.39
ΔE_f in eV/atom: 1.47
D(E_F) in states/eV/cell: 5.818
Electronic total energy in eV per atom: -24.47

a b c (Å): 4.3320 4.3320 4.7540
angles (deg): 90.00 90.00 90.00
With the nearest neighbours (Å) after each atom.
Space group P4/mmm (No. 123)
Asymmetric unit:
Ba: 0.0000 0.0000 0.0000  2 Li 2.38
Li: 0.0000 0.0000 0.5000  4 Ru 2.17, 2 Ba 2.38
Fe: 0.5000 0.5000 0.0000  4 Ba 3.06, 8 Ru 3.22
Ru: 0.0000 0.5000 0.5000  2 Li 2.17


Density functional theory data (meta-GGA SCAN) for Sb2AuSe at its PBEsol-relaxed geometry.

Calculated values
Spin magnetization in μB/f.u.: 0.00
Formation energy (no corrections) in eV/f.u.: -0.55
D(E_F) in states/eV/cell: 3.667
Electronic total energy in eV per atom: -41.08

a b c (Å): 6.8235 3.9289 7.4121
angles (deg): 90.00 107.71 90.00
With the nearest neighbours (Å) after each atom.
Space group C2/m (No. 12)
Asymmetric unit:
Sb: 0.2432 0.0000 0.2297  3 Au 2.79, 3 Se 2.96-2.97
Au: 0.0000 0.5000 0.0000  6 Sb 2.79
Se: 0.0000 0.0000 0.5000  6 Sb 2.96-2.97


The lowest electronic total energy belongs to which entry? Sb2AuSe


What is the electronic total energy in the first record? -31.50 eV per atom